First-principles (PBE) data for a geometry-optimized Ta2IrRu4 structure, as listed in Alexandria.

Properties
As for the energy of formation: -61 meV per atom. The density is 14.5 g cm⁻³. The value obtained for the energy is -10.0139 eV per atom.

Cell and atoms, written as CIF:
```
data_Ta2IrRu4
_space_group_name_H-M_alt 'P 1'
_space_group_IT_number 1
_space_group_name_Hall 'P 1'
_cell_length_a 9.775
_cell_length_b 4.958
_cell_length_c 5.267
_cell_angle_alpha 120.88
_cell_angle_beta 90.00
_cell_angle_gamma 90.00
loop_
_atom_site_label
_atom_site_type_symbol
_atom_site_fract_x
_atom_site_fract_y
_atom_site_fract_z
Ru1 Ru 0.275 0.741 0.906
Ir1 Ir 0.500 0.500 0.000
Ir2 Ir 0.000 0.000 0.000
Ru2 Ru 0.810 0.771 0.588
Ta1 Ta 0.963 0.335 0.677
Ta2 Ta 0.463 0.165 0.323
Ru3 Ru 0.190 0.229 0.412
Ta3 Ta 0.537 0.835 0.677
Ru4 Ru 0.225 0.241 0.906
Ru5 Ru 0.310 0.729 0.412
Ru6 Ru 0.725 0.259 0.094
Ru7 Ru 0.775 0.759 0.094
Ru8 Ru 0.690 0.271 0.588
Ta4 Ta 0.037 0.665 0.323
```